# 1
The following is a DFT calculation (meta-GGA SCAN) of a PBEsol-optimized structure of InTeN2F.

Cell and atoms, written as POSCAR:
```
InTeN2F
1.0
-1.3843 3.8606 -0.1318
-3.4426 -1.1695 1.9023
1.8664 0.8013 3.8702
N F In Te
2 1 1 1
Direct
0.5000 0.0000 0.0000
0.0000 0.5000 0.0000
0.0000 0.0000 0.5000
0.5000 0.5000 0.5000
0.0000 0.0000 0.0000
```

The value obtained for the uncorrected formation energy is 0.521 eV per atom. The calculated volume comes out at 14.7 A^3/atom. The density of states at the Fermi level comes out at 2.6 states/eV/f.u. The electronic total energy comes out at -18.0310 eV/atom.


# 2
The following is a DFT calculation (meta-GGA SCAN) of a PBEsol-optimized structure of Na2InNiF7.

Cell and atoms, written as POSCAR:
```
Na2InNiF7
1.0
-0.0053 -1.7027 7.0978
-3.8141 -6.2284 -1.4970
8.7824 -5.0863 -1.2135
In F Na Ni
4 28 8 4
Direct
0.2500 0.7752 0.7701
0.2500 0.7248 0.2701
0.7500 0.2248 0.2299
0.7500 0.2752 0.7299
0.0499 0.8075 0.1291
0.4902 0.1975 0.1298
0.0098 0.1975 0.1298
0.4902 0.3025 0.6298
0.7500 0.9900 0.0739
0.0499 0.6925 0.6291
0.5499 0.3075 0.3709
0.4501 0.8075 0.1291
0.9902 0.8025 0.8702
0.2500 0.9752 0.3607
0.4501 0.6925 0.6291
0.7500 0.4984 0.8492
0.9501 0.1925 0.8709
0.2500 0.4900 0.4261
0.5098 0.6975 0.3702
0.9902 0.6975 0.3702
0.9501 0.3075 0.3709
0.7500 0.0016 0.3492
0.2500 0.9984 0.6508
0.5098 0.8025 0.8702
0.7500 0.5100 0.5739
0.2500 0.5248 0.8607
0.7500 0.4752 0.1393
0.2500 0.0100 0.9261
0.2500 0.5016 0.1508
0.5499 0.1925 0.8709
0.0098 0.3025 0.6298
0.7500 0.0248 0.6393
0.5000 0.0000 0.5000
0.0000 0.5000 0.0000
0.0000 0.0000 0.5000
0.2500 0.2483 0.7695
0.7500 0.7483 0.7305
0.2500 0.2517 0.2695
0.7500 0.7517 0.2305
0.5000 0.5000 0.0000
0.5000 0.5000 0.5000
0.5000 0.0000 0.0000
0.0000 0.0000 0.0000
0.0000 0.5000 0.5000
```

The value obtained for the uncorrected formation energy is -2.720 eV per atom. The calculated volume comes out at 12.6 A^3/atom. The density of states at the Fermi level comes out at 0.0 states/eV/f.u. The electronic total energy comes out at -10.2444 eV/atom.


# 3
The following is a DFT calculation (meta-GGA SCAN) of a PBEsol-optimized structure of NaInSe2F.

Cell and atoms, written as POSCAR:
```
NaInSe2F
1.0
4.0754 0.0000 0.0000
0.0000 5.0004 0.0000
0.0000 0.0000 5.0004
F Se Na In
1 2 1 1
Direct
0.0000 0.0000 0.0000
0.0000 0.0000 0.5000
0.0000 0.5000 0.0000
0.5000 0.0000 0.0000
0.5000 0.5000 0.5000
```

The value obtained for the uncorrected formation energy is -0.595 eV per atom. The calculated volume comes out at 20.4 A^3/atom. The density of states at the Fermi level comes out at 2.7 states/eV/f.u. The electronic total energy comes out at -16.8542 eV/atom.


# 4
The following is a DFT calculation (meta-GGA SCAN) of a PBEsol-optimized structure of NaTl2InF6.

Cell and atoms, written as POSCAR:
```
NaTl2InF6
1.0
6.1073 0.0000 0.0000
3.0536 5.2890 0.0000
3.0536 1.7630 4.9865
F Tl In Na
6 2 1 1
Direct
0.2409 0.2409 0.7591
0.7591 0.2409 0.2409
0.2409 0.7591 0.2409
0.2409 0.7591 0.7591
0.7591 0.7591 0.2409
0.7591 0.2409 0.7591
0.7500 0.7500 0.7500
0.2500 0.2500 0.2500
0.0000 0.0000 0.0000
0.5000 0.5000 0.5000
```

The value obtained for the uncorrected formation energy is -2.469 eV per atom. The calculated volume comes out at 16.1 A^3/atom. The density of states at the Fermi level comes out at 0.0 states/eV/f.u. The electronic total energy comes out at -22.8250 eV/atom.